Here is crystalline GdPaSn2 at its relaxed geometry from Alexandria. Energies are from PBE.

Total DFT energy (no corrections): -33.27 eV/cell
Calculated density: 9.925 g cm⁻³

The structure in extended XYZ format:
```
4
Lattice="3.4047 0.0000 0.0000 0.0000 3.4047 0.0000 0.0000 0.0000 9.0311" Properties=species:S:1:pos:R:3 pbc="T T T"
Gd 0.0000 0.0000 0.0000
Pa 0.0000 0.0000 4.5155
Sn 1.7023 1.7023 2.2658
Sn 1.7023 1.7023 6.7653
```

=====

Here is crystalline ScAg4Au at its relaxed geometry from Alexandria. Energies are from PBE.

Total DFT energy (no corrections): -21.49 eV/cell
Calculated density: 9.789 g cm⁻³

The structure in extended XYZ format:
```
6
Lattice="0.0000 3.8511 3.8511 3.8511 0.0000 3.8511 3.8511 3.8511 0.0000" Properties=species:S:1:pos:R:3 pbc="T T T"
Sc 0.0000 0.0000 0.0000
Ag 4.8133 2.8889 2.8889
Ag 2.8889 4.8133 2.8889
Ag 2.8889 2.8889 4.8133
Ag 4.8133 4.8133 4.8133
Au 1.9255 1.9255 1.9255
```

=====

Here is crystalline HoPH5CO7 at its relaxed geometry from Alexandria. Energies are from PBE.

Total DFT energy (no corrections): -192.41 eV/cell
Calculated density: 3.395 g cm⁻³

The structure in extended XYZ format:
```
30
Lattice="6.5094 0.0000 0.0000 -0.0066 6.9027 0.0000 -0.7431 -2.6885 7.0737" Properties=species:S:1:pos:R:3 pbc="T T T"
Ho 0.4948 0.3570 3.0889
Ho 5.2649 3.8572 3.9848
P 1.7812 3.8433 3.3941
P 3.9785 0.3709 3.6796
H 0.4647 1.3637 5.7852
H 1.1844 -0.0766 6.0582
H 2.2518 4.0484 2.0880
H 2.8517 5.6074 0.4428
H 2.8677 1.3205 0.9154
H 2.8919 2.8937 6.1583
H 2.9080 -1.3933 6.6309
H 3.5078 0.1658 4.9856
H 4.5753 4.2908 1.0154
H 5.2950 2.8505 1.2885
C 0.4225 6.2670 0.0052
C 5.3372 -2.0528 7.0685
O -0.2624 2.9355 5.9864
O 1.0020 5.9762 1.0870
O 0.8072 2.6435 3.3639
O 0.8726 5.0457 3.7864
O 0.7386 0.5015 5.3766
O 2.0482 -1.1466 7.0344
O 2.7548 0.5471 2.7791
O 3.0049 3.6670 4.2945
O 3.7115 5.3608 0.0393
O 5.0211 3.7127 1.6971
O 4.8870 -0.8316 3.2873
O 4.9525 1.5707 3.7097
O 4.7577 -1.7620 5.9867
O 6.0221 1.2787 1.0873
```

=====

Here is crystalline LaMnZn2 at its relaxed geometry from Alexandria. Energies are from PBE.

Total DFT energy (no corrections): -16.50 eV/cell
Calculated density: 6.474 g cm⁻³

The structure in extended XYZ format:
```
4
Lattice="4.1584 0.0000 0.0000 0.0000 1.6146 6.2015 0.0000 -1.6146 6.2015" Properties=species:S:1:pos:R:3 pbc="T T T"
La 0.0000 0.0000 0.0000
Mn 2.0792 0.0000 8.5220
Zn 0.0000 0.0000 3.0799
Zn 2.0792 0.0000 4.4954
```

=====

Here is crystalline K2ScMn at its relaxed geometry from Alexandria. Energies are from PBE.

Total DFT energy (no corrections): -13.90 eV/cell
Calculated density: 2.178 g cm⁻³

The structure in extended XYZ format:
```
4
Lattice="0.0000 4.0796 4.0796 4.0796 0.0000 4.0796 4.0796 4.0796 0.0000" Properties=species:S:1:pos:R:3 pbc="T T T"
K 0.0000 0.0000 0.0000
K 2.0398 2.0398 2.0398
Sc 6.1195 6.1195 6.1195
Mn 4.0796 4.0796 4.0796
```

=====

Here is crystalline Pr4ThN4 at its relaxed geometry from Alexandria. Energies are from PBE.

Raw formation energy: -1.23 eV/atom
Total DFT energy (no corrections): -70.91 eV/cell
Calculated density: 7.868 g cm⁻³

The structure in extended XYZ format:
```
9
Lattice="6.1770 -1.8404 0.0000 6.1770 1.8404 0.0000 -4.5577 0.0000 7.9056" Properties=species:S:1:pos:R:3 pbc="T T T"
Pr -0.4341 0.0000 3.0884
Pr 2.7834 0.0000 1.5041
Pr 5.0129 0.0000 6.4016
Pr 8.2304 0.0000 4.8173
Th 6.1770 0.0000 0.0000
N -2.9503 0.0000 7.2052
N 0.5641 0.0000 5.5640
N 7.2322 0.0000 2.3416
N 10.7466 0.0000 0.7005
```

=====

Here is crystalline Rb2MgTiO4 at its relaxed geometry from Alexandria. Energies are from PBE.

Raw formation energy: -2.28 eV/atom
Total DFT energy (no corrections): -99.00 eV/cell
Calculated density: 3.001 g cm⁻³

The structure in extended XYZ format:
```
16
Lattice="0.0000 6.1898 10.4915 2.6165 0.0000 10.4915 2.6165 6.1898 0.0000" Properties=species:S:1:pos:R:3 pbc="T T T"
Rb 1.9623 4.6424 1.0432
Rb 3.2706 7.7373 6.2890
Rb 1.9623 4.6424 14.6940
Rb 3.2706 7.7373 19.9398
Mg 0.6541 1.5475 2.6229
Mg 4.5788 10.8322 18.3601
Ti 1.9623 4.6424 7.8686
Ti 3.2706 7.7373 13.1144
O 3.1790 3.6208 6.9302
O 3.1790 5.6639 8.8070
O 4.4873 6.7157 14.0528
O 4.4873 8.7588 12.1759
O 0.7456 3.6208 8.8070
O 0.7456 5.6639 6.9302
O 2.0539 6.7157 12.1759
O 2.0539 8.7588 14.0528
```

=====

Here is crystalline NaPdI at its relaxed geometry from Alexandria. Energies are from PBE.

Raw formation energy: -0.36 eV/atom
Total DFT energy (no corrections): -36.51 eV/cell
Calculated density: 5.615 g cm⁻³

The structure in extended XYZ format:
```
12
Lattice="5.6957 0.0000 0.0000 0.0000 7.6691 0.0000 0.0000 0.0000 6.9416" Properties=species:S:1:pos:R:3 pbc="T T T"
Na 0.0202 1.9173 0.7762
Na 2.8277 5.7519 4.2470
Na 2.8680 1.9173 2.6946
Na 5.6755 5.7519 6.1655
Pd 1.4258 1.9173 5.1952
Pd 1.4221 5.7519 1.7244
Pd 4.2736 1.9173 5.2172
Pd 4.2699 5.7519 1.7464
I 0.0000 0.0000 3.4708
I 0.0000 3.8346 3.4708
I 2.8479 0.0000 0.0000
I 2.8479 3.8346 0.0000
```